# 1
Computed, not measured: crystalline Si2Pt at its relaxed geometry at the PBE-GGA level of DFT.

SG: Cmcm, No. 63
E_form (uncorrected) in eV per atom: -0.114
Total DFT energy (no corrections) in eV per formula unit: -17.23
N(E_F) in states/eV/atom: 0.5299

Cell lengths 6.1587, 6.1587, 4.6420 Å; angles 90.00, 90.00, 148.58 degrees
Closest atoms and distances in Å follow each position.
Fractional coordinates of all 6 atoms:
Si: 0.9512 0.0488 0.7500  4 Si 2.58-2.59, 2 Pt 2.69
Si: 0.2855 0.7145 0.7500  4 Pt 2.49-2.53, 2 Si 2.58
Si: 0.7145 0.2855 0.2500  4 Pt 2.49-2.53, 2 Si 2.58
Si: 0.0488 0.9512 0.2500  4 Si 2.58-2.59, 2 Pt 2.69
Pt: 0.6298 0.3702 0.7500  6 Si 2.49-2.69
Pt: 0.3702 0.6298 0.2500  6 Si 2.49-2.69

=====

# 2
Computed, not measured: crystalline In3Bi4Pb4 at its relaxed geometry at the PBE-GGA level of DFT.

Energy of formation in eV per atom: 0.044
SG: Amm2, No. 38
Total DFT energy (no corrections) in eV per formula unit: -38.09
N(E_F) in states/eV/atom: 0.4106
Energy above the most stable polymorph in this dataset in eV per atom: 0.018

Cell lengths 4.9017, 7.3602, 10.6077 Å; angles 90.00, 90.00, 109.45 degrees
Closest atoms and distances in Å follow each position.
Fractional coordinates of all 11 atoms:
In: 0.4113 0.8226 0.2610  6 Bi 3.31-3.71, 3 Pb 3.44-3.58, 1 In 3.45
In: 0.4113 0.8226 0.7390  6 Bi 3.31-3.71, 3 Pb 3.44-3.58, 1 In 3.45
In: 0.2635 0.5270 0.0000  6 Bi 3.35-3.64, 4 Pb 3.42-3.62, 2 In 3.45
Bi: 0.7511 0.5021 0.7466  4 In 3.31-3.64, 4 Pb 3.36-3.48, 2 Bi 3.58-3.65
Bi: 0.7511 0.5021 0.2534  4 In 3.31-3.64, 4 Pb 3.36-3.48, 2 Bi 3.58-3.65
Bi: 0.9268 0.8537 0.5000  4 Pb 3.37-3.45, 4 In 3.53, 2 Bi 3.58
Bi: 0.9285 0.8570 0.0000  4 Pb 3.33-3.42, 6 In 3.35-3.71, 2 Bi 3.65
Pb: 0.5934 0.1869 0.5000  4 Bi 3.37-3.41, 2 In 3.58, 4 Pb 3.62
Pb: 0.5913 0.1826 0.0000  4 Bi 3.33-3.48, 4 In 3.42-3.73, 4 Pb 3.60
Pb: 0.0851 0.1702 0.7512  4 Bi 3.36-3.45, 3 In 3.44-3.62, 4 Pb 3.60-3.62
Pb: 0.0851 0.1702 0.2488  4 Bi 3.36-3.45, 3 In 3.44-3.62, 4 Pb 3.60-3.62

=====

# 3
Computed, not measured: crystalline BaNaMg2Ir at its relaxed geometry at the PBE-GGA level of DFT.

Energy of formation in eV per atom: 0.002
SG: P4/mmm, No. 123
Total DFT energy (no corrections) in eV per formula unit: -15.28
N(E_F) in states/eV/atom: 0.6179
Energy above the most stable polymorph in this dataset in eV per atom: 0.029

Cell lengths 5.1254, 5.1254, 5.5740 Å; angles 90.00, 90.00, 90.00 degrees
Closest atoms and distances in Å follow each position.
Fractional coordinates of all 5 atoms:
Na: 0.0000 0.0000 0.5000  2 Ir 2.79
Mg: 0.0000 0.5000 0.0000  2 Ir 2.56
Mg: 0.5000 0.0000 0.0000  2 Ir 2.56
Ir: 0.0000 0.0000 0.0000  4 Mg 2.56, 2 Na 2.79
Ba: 0.5000 0.5000 0.5000  4 Na 3.62, 8 Mg 3.79

=====

# 4
Computed, not measured: crystalline LaNd5Dy2 at its relaxed geometry at the PBE-GGA level of DFT.

Energy of formation in eV per atom: 0.030
SG: Immm, No. 71
Total DFT energy (no corrections) in eV per formula unit: -37.73
N(E_F) in states/eV/atom: 1.4126
Energy above the most stable polymorph in this dataset in eV per atom: 0.016

Cell lengths 3.6212, 11.4030, 9.0223 Å; angles 129.19, 101.58, 90.00 degrees
Closest atoms and distances in Å follow each position.
Fractional coordinates of all 8 atoms:
La: 0.0000 0.0000 0.0000  2 La 3.62, 4 Dy 3.75-3.76, 8 Nd 3.99
Nd: 0.0000 0.5000 0.0000  2 Dy 3.47, 10 Nd 3.62-3.66
Nd: 0.6321 0.4020 0.2646  3 Dy 3.42-3.61, 7 Nd 3.57-3.69
Nd: 0.3679 0.5980 0.7354  3 Dy 3.42-3.61, 7 Nd 3.57-3.69
Nd: 0.6321 0.8626 0.2646  3 Dy 3.42-3.61, 7 Nd 3.57-3.69
Nd: 0.3679 0.1374 0.7354  3 Dy 3.42-3.61, 7 Nd 3.57-3.69
Dy: 0.2557 0.7565 0.5131  7 Nd 3.42-3.61, 2 Dy 3.62, 2 La 3.75-3.76
Dy: 0.7443 0.2435 0.4869  7 Nd 3.42-3.61, 2 Dy 3.62, 2 La 3.75-3.76

=====

# 5
Computed, not measured: crystalline MnNb2Pb at its relaxed geometry at the PBE-GGA level of DFT.

Energy of formation in eV per atom: 0.580
SG: Fm-3m, No. 225
Total DFT energy (no corrections) in eV per formula unit: -30.70
N(E_F) in states/eV/atom: 2.2915
Energy above the most stable polymorph in this dataset in eV per atom: 0.000

Cell lengths 4.6615, 4.6615, 4.6615 Å; angles 60.00, 60.00, 60.00 degrees
Closest atoms and distances in Å follow each position.
Fractional coordinates of all 4 atoms:
Pb: 0.5000 0.5000 0.5000  8 Nb 2.85
Nb: 0.2500 0.2500 0.2500  4 Mn 2.85, 4 Pb 2.85
Nb: 0.7500 0.7500 0.7500  4 Pb 2.85, 4 Mn 2.85
Mn: 0.0000 0.0000 0.0000  8 Nb 2.85

=====

# 6
Computed, not measured: crystalline SiHgCl2 at its relaxed geometry at the PBE-GGA level of DFT.

SG: Imm2, No. 44
E_form (uncorrected) in eV per atom: -0.270
Total DFT energy (no corrections) in eV per formula unit: -10.50
Energy above the most stable polymorph in this dataset in eV per atom: 0.141

Cell lengths 9.9287, 9.9287, 9.9287 Å; angles 160.21, 156.69, 30.76 degrees
Closest atoms and distances in Å follow each position.
Fractional coordinates of all 4 atoms:
Cl: 0.1104 0.1104 0.0000  2 Si 2.45
Cl: 0.7495 0.2495 0.5000  4 Si 2.79
Hg: 0.4382 0.4382 0.0000  2 Hg 3.41
Si: 0.2019 0.7019 0.5000  2 Cl 2.45